one.
Entry from the Alexandria database: a relaxed structure of AcNdF (GGA-PBE).

Unit cell a=3.785 b=7.584 c=7.409 alpha=119.20 beta=104.80 gamma=90.00
Positions (direct):
Nd 0.239 0.754 0.479
Nd 0.761 0.246 0.521
F 0.832 0.616 0.664
F 0.168 0.384 0.336
Ac 0.502 0.264 0.005
Ac 0.498 0.736 0.995

Results
The density of states at the Fermi level comes out at 6.18 states/eV per cell. As for the crystal system: monoclinic.

---

two.
Entry from the Alexandria database: a relaxed structure of AcNdF (GGA-PBE).

Unit cell a=4.034 b=4.034 c=6.034 alpha=90.00 beta=90.00 gamma=120.00
Positions (direct):
Ac 0.000 0.000 0.917
Nd 0.667 0.333 0.429
F 0.333 0.667 0.655

Results
The density of states at the Fermi level comes out at 2.48 states/eV per cell. As for the crystal system: trigonal.

---

The least stable of them is one.

---

one.
Entry from the Alexandria database: a relaxed structure of Ac2OF (GGA-PBE).

Unit cell a=3.452 b=3.452 c=6.969 alpha=90.00 beta=90.00 gamma=90.00
Positions (direct):
Ac 0.000 0.000 0.764
Ac 0.000 0.000 0.236
O 0.500 0.500 0.000
F 0.500 0.500 0.500

Results
The density of states at the Fermi level comes out at 3.65 states/eV per cell. As for the crystal system: tetragonal.

---

two.
Entry from the Alexandria database: a relaxed structure of Ac2OF (GGA-PBE).

Unit cell a=3.864 b=3.864 c=6.784 alpha=73.45 beta=73.45 gamma=60.00
Positions (direct):
Ac 0.743 0.743 0.770
Ac 0.257 0.257 0.230
O 0.000 0.000 0.000
F 0.500 0.500 0.500

Results
The density of states at the Fermi level comes out at 3.03 states/eV per cell. As for the crystal system: trigonal.

---

The least stable of them is one.

---

one.
Entry from the Alexandria database: a relaxed structure of AcO2F (GGA-PBE).

Unit cell a=3.698 b=3.698 c=4.820 alpha=90.00 beta=90.00 gamma=90.00
Positions (direct):
Ac 0.500 0.500 0.000
O 0.000 0.000 0.842
O 0.000 0.000 0.158
F 0.500 0.500 0.500

Results
The density of states at the Fermi level comes out at 0.00 states/eV per cell. As for the crystal system: tetragonal.

---

two.
Entry from the Alexandria database: a relaxed structure of AcO2F (GGA-PBE).

Unit cell a=4.110 b=4.110 c=5.997 alpha=69.96 beta=69.96 gamma=60.00
Positions (direct):
Ac 0.500 0.500 0.500
O 0.113 0.113 0.662
O 0.887 0.887 0.338
F 0.000 0.000 0.000

Results
As for the crystal system: trigonal.

---

The least stable of them is two.

---

one.
Entry from the Alexandria database: a relaxed structure of AcPb2F8 (GGA-PBE).

Unit cell a=4.327 b=4.947 c=8.263 alpha=103.62 beta=105.18 gamma=90.00
Positions (direct):
Pb 0.179 0.685 0.358
Pb 0.821 0.315 0.642
Ac 0.500 0.000 0.000
F 0.580 0.587 0.161
F 0.331 0.917 0.663
F 0.250 0.335 0.499
F 0.061 0.230 0.122
F 0.750 0.665 0.501
F 0.669 0.083 0.337
F 0.420 0.413 0.839
F 0.939 0.770 0.878

Results
The density of states at the Fermi level comes out at 7.47 states/eV per cell. As for the crystal system: monoclinic.

---

two.
Entry from the Alexandria database: a relaxed structure of AcPb2F8 (GGA-PBE).

Unit cell a=4.124 b=5.915 c=7.645 alpha=110.52 beta=105.65 gamma=90.00
Positions (direct):
Ac 0.500 0.000 0.000
Pb 0.820 0.322 0.641
Pb 0.180 0.678 0.359
F 0.401 0.547 0.802
F 0.670 0.959 0.340
F 0.795 0.691 0.591
F 0.970 0.201 0.939
F 0.205 0.309 0.409
F 0.330 0.041 0.660
F 0.599 0.453 0.198
F 0.030 0.799 0.061

Results
The density of states at the Fermi level comes out at 8.93 states/eV per cell. As for the crystal system: monoclinic.

---

The least stable of them is one.

---

one.
Entry from the Alexandria database: a relaxed structure of Ac2PbF (GGA-PBE).

Unit cell a=3.750 b=3.750 c=8.454 alpha=90.00 beta=90.00 gamma=90.00
Positions (direct):
Pb 0.500 0.500 0.500
Ac 0.000 0.000 0.769
Ac 0.000 0.000 0.231
F 0.500 0.500 0.000

Results
The density of states at the Fermi level comes out at 3.49 states/eV per cell. As for the crystal system: tetragonal.

---

two.
Entry from the Alexandria database: a relaxed structure of Ac2PbF (GGA-PBE).

Unit cell a=8.131 b=7.008 c=9.563 alpha=90.00 beta=105.12 gamma=90.00
Positions (direct):
Ac 0.619 0.671 0.182
Ac 0.119 0.829 0.182
Ac 0.025 0.279 0.403
Ac 0.881 0.171 0.818
Ac 0.975 0.721 0.597
Ac 0.475 0.779 0.597
Ac 0.381 0.329 0.818
Ac 0.525 0.221 0.403
Pb 0.204 0.349 0.112
Pb 0.296 0.849 0.888
Pb 0.704 0.151 0.112
Pb 0.796 0.651 0.888
F 0.565 0.148 0.682
F 0.065 0.352 0.682
F 0.435 0.852 0.318
F 0.935 0.648 0.318

Results
The density of states at the Fermi level comes out at 15.34 states/eV per cell. As for the crystal system: monoclinic.

---

The least stable of them is one.

---

one.
Entry from the Alexandria database: a relaxed structure of Ac2PtF (GGA-PBE).

Unit cell a=4.361 b=4.361 c=8.553 alpha=75.23 beta=75.23 gamma=60.00
Positions (direct):
Ac 0.088 0.088 0.736
Ac 0.281 0.281 0.156
Pt 0.678 0.678 0.965
F 0.452 0.452 0.643

Results
The density of states at the Fermi level comes out at 3.02 states/eV per cell. As for the crystal system: trigonal.

---

two.
Entry from the Alexandria database: a relaxed structure of Ac2PtF (GGA-PBE).

Unit cell a=4.403 b=4.403 c=7.018 alpha=71.72 beta=71.72 gamma=60.00
Positions (direct):
Ac 0.248 0.248 0.255
Ac 0.752 0.752 0.745
Pt 0.000 0.000 0.000
F 0.500 0.500 0.500

Results
The density of states at the Fermi level comes out at 2.73 states/eV per cell. As for the crystal system: trigonal.

---

three.
Entry from the Alexandria database: a relaxed structure of Ac2PtF (GGA-PBE).

Unit cell a=3.715 b=3.715 c=7.615 alpha=90.00 beta=90.00 gamma=90.00
Positions (direct):
Ac 0.000 0.000 0.737
Ac 0.000 0.000 0.263
Pt 0.500 0.500 0.500
F 0.500 0.500 0.000

Results
The density of states at the Fermi level comes out at 3.83 states/eV per cell. As for the crystal system: tetragonal.

---

The least stable of them is three.

---

one.
Entry from the Alexandria database: a relaxed structure of RbAcF2 (GGA-PBE).

Unit cell a=4.333 b=4.333 c=8.033 alpha=74.35 beta=74.35 gamma=60.00
Positions (direct):
Ac 0.000 0.000 0.000
Rb 0.500 0.500 0.500
F 0.103 0.103 0.692
F 0.897 0.897 0.308

Results
The density of states at the Fermi level comes out at 1.78 states/eV per cell. As for the crystal system: trigonal.

---

two.
Entry from the Alexandria database: a relaxed structure of RbAcF2 (GGA-PBE).

Unit cell a=3.472 b=3.472 c=7.792 alpha=90.00 beta=90.00 gamma=90.00
Positions (direct):
Ac 0.500 0.500 0.500
Rb 0.500 0.500 0.000
F 0.000 0.000 0.779
F 0.000 0.000 0.221

Results
The density of states at the Fermi level comes out at 2.22 states/eV per cell. As for the crystal system: tetragonal.

---

The least stable of them is two.

---

one.
Entry from the Alexandria database: a relaxed structure of Rb3AcF6 (GGA-PBE).

Unit cell a=6.881 b=7.100 c=9.829 alpha=90.00 beta=88.39 gamma=90.00
Positions (direct):
Rb 0.519 0.951 0.759
Rb 0.500 0.500 0.000
Rb 0.481 0.049 0.241
Rb 0.019 0.549 0.259
Rb 0.000 0.000 0.500
Rb 0.981 0.451 0.741
Ac 0.500 0.500 0.500
Ac 0.000 0.000 0.000
F 0.714 0.179 0.947
F 0.676 0.229 0.582
F 0.627 0.427 0.273
F 0.373 0.573 0.727
F 0.324 0.771 0.418
F 0.286 0.821 0.053
F 0.214 0.321 0.447
F 0.176 0.271 0.082
F 0.127 0.073 0.773
F 0.873 0.927 0.227
F 0.824 0.729 0.918
F 0.786 0.679 0.553

Results
The density of states at the Fermi level comes out at 0.00 states/eV per cell. As for the crystal system: monoclinic.

---

two.
Entry from the Alexandria database: a relaxed structure of Rb3AcF6 (GGA-PBE).

Unit cell a=4.302 b=8.815 c=10.988 alpha=90.00 beta=90.00 gamma=90.00
Positions (direct):
Rb 0.500 0.783 0.751
Rb 0.500 0.500 0.000
Rb 0.500 0.217 0.249
Rb 0.000 0.717 0.251
Rb 0.000 0.000 0.500
Rb 0.000 0.283 0.749
Ac 0.500 0.500 0.500
Ac 0.000 0.000 0.000
F 0.500 0.114 0.915
F 0.500 0.219 0.537
F 0.500 0.527 0.270
F 0.500 0.473 0.730
F 0.500 0.781 0.463
F 0.500 0.886 0.085
F 0.000 0.386 0.415
F 0.000 0.281 0.037
F 0.000 0.973 0.771
F 0.000 0.027 0.229
F 0.000 0.719 0.963
F 0.000 0.614 0.585

Results
The density of states at the Fermi level comes out at 0.00 states/eV per cell. As for the crystal system: orthorhombic.

---

The least stable of them is two.

---

one.
Entry from the Alexandria database: a relaxed structure of Ac2RhF (GGA-PBE).

Unit cell a=4.262 b=4.262 c=8.493 alpha=75.47 beta=75.47 gamma=60.00
Positions (direct):
Ac 0.085 0.085 0.744
Ac 0.280 0.280 0.160
Rh 0.675 0.675 0.974
F 0.459 0.459 0.622

Results
The density of states at the Fermi level comes out at 0.44 states/eV per cell. As for the crystal system: trigonal.

---

two.
Entry from the Alexandria database: a relaxed structure of Ac2RhF (GGA-PBE).

Unit cell a=3.624 b=3.624 c=7.675 alpha=90.00 beta=90.00 gamma=90.00
Positions (direct):
Ac 0.000 0.000 0.738
Ac 0.000 0.000 0.262
Rh 0.500 0.500 0.500
F 0.500 0.500 0.000

Results
The density of states at the Fermi level comes out at 3.04 states/eV per cell. As for the crystal system: tetragonal.

---

The least stable of them is two.

---

one.
Entry from the Alexandria database: a relaxed structure of AcTlF (GGA-PBE).

Unit cell a=3.686 b=3.686 c=6.815 alpha=105.69 beta=105.69 gamma=90.00
Positions (direct):
Ac 0.728 0.728 0.457
Tl 0.007 0.007 0.013
F 0.265 0.265 0.530

Results
The density of states at the Fermi level comes out at 3.00 states/eV per cell. As for the crystal system: tetragonal.

---

two.
Entry from the Alexandria database: a relaxed structure of AcTlF (GGA-PBE).

Unit cell a=4.286 b=4.286 c=5.582 alpha=90.00 beta=90.00 gamma=120.00
Positions (direct):
Ac 0.667 0.333 0.500
Tl 0.000 0.000 0.000
F 0.333 0.667 0.500

Results
The density of states at the Fermi level comes out at 1.85 states/eV per cell. As for the crystal system: hexagonal.

---

three.
Entry from the Alexandria database: a relaxed structure of AcTlF (GGA-PBE).

Unit cell a=4.175 b=4.722 c=8.154 alpha=90.02 beta=104.84 gamma=90.00
Positions (direct):
F 0.244 0.750 0.987
F 0.756 0.250 0.013
Tl 0.942 0.750 0.385
Tl 0.058 0.250 0.615
Ac 0.649 0.750 0.798
Ac 0.351 0.250 0.202

Results
The density of states at the Fermi level comes out at 1.51 states/eV per cell. As for the crystal system: orthorhombic.

---

The least stable of them is one.